No. 1
# YSb2P

Crystalline YSb2P at its relaxed geometry (PBE, Alexandria via LeMat-Bulk).

Cell: 6.314 6.314 4.453 Å, 98.87 98.87 38.10°
Fractional coordinates of all 4 atoms:
Y  0.000  0.000  0.000
Sb  0.442  0.442  0.481
Sb  0.715  0.715  0.870
P  0.224  0.224  0.260

Summary:
calculated total energy = -5.49 eV/atom
raw formation energy = -1.8 eV/f.u.

No. 2
# Y4Sb3P

Crystalline Y4Sb3P at its relaxed geometry (PBE, Alexandria via LeMat-Bulk).

Cell: 7.461 7.461 4.279 Å, 90.00 90.00 109.20°
Fractional coordinates of all 8 atoms:
Y  0.233  0.233  0.500
Y  0.241  0.759  0.000
Y  0.759  0.241  0.000
Y  0.767  0.767  0.500
Sb  0.000  0.500  0.500
Sb  0.500  0.000  0.500
Sb  0.500  0.500  0.000
P  0.000  0.000  0.000

Summary:
calculated total energy = -6.69 eV/atom
raw formation energy = -9.9 eV/f.u.

No. 3
# YSb2P

Crystalline YSb2P at its relaxed geometry (PBE, Alexandria via LeMat-Bulk).

Cell: 5.991 5.991 5.991 Å, 137.66 137.66 61.42°
Fractional coordinates of all 4 atoms:
Y  0.000  0.000  0.000
Sb  0.500  0.500  0.000
Sb  0.750  0.250  0.500
P  0.250  0.750  0.500

Summary:
calculated total energy = -5.33 eV/atom
raw formation energy = -1.2 eV/f.u.

No. 4
# Y2SbP2

Crystalline Y2SbP2 at its relaxed geometry (PBE, Alexandria via LeMat-Bulk).

Cell: 8.247 8.247 8.247 Å, 153.17 153.17 38.31°
Fractional coordinates of all 5 atoms:
Y  0.115  0.115  0.000
Y  0.885  0.885  0.000
Sb  0.500  0.500  0.000
P  0.250  0.750  0.500
P  0.750  0.250  0.500

Summary:
calculated total energy = -6.54 eV/atom
raw formation energy = -4.8 eV/f.u.
ΔE to the lowest computed polymorph = 0.013 eV per atom

No. 5
# Zn2SbP

Crystalline Zn2SbP at its relaxed geometry (PBE, Alexandria via LeMat-Bulk).

Cell: 4.635 4.635 4.278 Å, 105.51 105.51 104.94°
Fractional coordinates of all 4 atoms:
Zn  0.000  0.500  0.000
Zn  0.500  0.000  0.000
Sb  0.000  0.000  0.500
P  0.500  0.500  0.500

Summary:
calculated total energy = -2.79 eV/atom
raw formation energy = 0.9 eV/f.u.
ΔE to the lowest computed polymorph = 0.160 eV per atom

No. 6
# ZnSbP2

Crystalline ZnSbP2 at its relaxed geometry (PBE, Alexandria via LeMat-Bulk).

Cell: 4.705 4.705 4.705 Å, 60.00 60.00 60.00°
Fractional coordinates of all 4 atoms:
Zn  0.000  0.000  0.000
Sb  0.250  0.250  0.250
P  0.500  0.500  0.500
P  0.750  0.750  0.750

Summary:
calculated total energy = -3.50 eV/atom
raw formation energy = 2.2 eV/f.u.
ΔE to the lowest computed polymorph = 0.452 eV per atom

Repeat the fourth record exactly.
# Y2SbP2

Crystalline Y2SbP2 at its relaxed geometry (PBE, Alexandria via LeMat-Bulk).

Cell: 8.247 8.247 8.247 Å, 153.17 153.17 38.31°
Fractional coordinates of all 5 atoms:
Y  0.115  0.115  0.000
Y  0.885  0.885  0.000
Sb  0.500  0.500  0.000
P  0.250  0.750  0.500
P  0.750  0.250  0.500

Summary:
calculated total energy = -6.54 eV/atom
raw formation energy = -4.8 eV/f.u.
ΔE to the lowest computed polymorph = 0.013 eV per atom

Which value of calculated total energy does entry 2 give? -6.69 eV/atom

Which formula does entry 2 have? Y4Sb3P